Computed, not measured: a PBEsol-optimized structure of MnTl3 at the meta-GGA SCAN level of DFT.

Properties
E_form (kcal/mol of atoms): 3.906
Volume (Å³/cell): 95.40
DFT total energy (eV per atom): -58.66
Magnetic moment (μB/f.u.): 4.2
N(E_F) (states/eV per atom): 0.544

a b c (Å): 3.332 3.332 9.920
angles (deg): 90.00 90.00 120.00
Positions (direct):
Tl: 0.333 0.667 0.217
Tl: 0.333 0.667 0.783
Mn: 0.000 0.000 0.000
Tl: 0.000 0.000 0.500



Computed, not measured: a PBEsol-optimized structure of MnTl3 at the meta-GGA SCAN level of DFT.

Properties
E_form (kcal/mol of atoms): 3.007
Volume (Å³/cell): 94.28
DFT total energy (eV per atom): -58.70
Magnetic moment (μB/f.u.): 4.1
N(E_F) (states/eV per atom): 0.598

a b c (Å): 3.253 3.253 8.911
angles (deg): 90.00 90.00 90.00
Positions (direct):
Tl: 0.500 0.500 0.202
Mn: 0.000 0.000 0.000
Tl: 0.000 0.000 0.500
Tl: 0.500 0.500 0.798



Computed, not measured: a PBEsol-optimized structure of MnTl3 at the meta-GGA SCAN level of DFT.

Properties
E_form (kcal/mol of atoms): 4.966
Volume (Å³/cell): 94.70
DFT total energy (eV per atom): -58.62
Magnetic moment (μB/f.u.): 4.3
N(E_F) (states/eV per atom): 0.550

a b c (Å): 4.448 4.448 5.727
angles (deg): 112.85 112.85 90.00
Positions (direct):
Mn: 0.000 0.000 0.000
Tl: 0.250 0.750 0.500
Tl: 0.500 0.500 0.000
Tl: 0.750 0.250 0.500



Computed, not measured: a PBEsol-optimized structure of MnTl at the meta-GGA SCAN level of DFT.

Properties
E_form (kcal/mol of atoms): 9.131
Volume (Å³/cell): 84.52
DFT total energy (eV per atom): -44.91
Magnetic moment (μB/f.u.): 4.2
N(E_F) (states/eV per atom): 0.620

a b c (Å): 3.128 3.128 9.977
angles (deg): 90.00 90.00 120.00
Positions (direct):
Mn: 0.333 0.667 0.450
Tl: 0.667 0.333 0.679
Tl: 0.333 0.667 0.179
Mn: 0.667 0.333 0.950



Computed, not measured: a PBEsol-optimized structure of MnTlW2 at the meta-GGA SCAN level of DFT.

Properties
Excess energy over the best structure of this formula in the dataset (eV per formula unit): 0.00
E_form (kcal/mol of atoms): 10.289
Volume (Å³/cell): 65.25
DFT total energy (eV per atom): -57.05
Magnetic moment (μB/f.u.): 3.5
N(E_F) (states/eV per atom): 0.541

a b c (Å): 3.226 3.226 6.270
angles (deg): 90.00 90.00 90.00
Positions (direct):
W: 0.000 0.000 0.035
Tl: 0.500 0.500 0.735
Mn: 0.000 0.000 0.475
W: 0.500 0.500 0.255



Computed, not measured: a PBEsol-optimized structure of MnTl2W at the meta-GGA SCAN level of DFT.

Properties
E_form (kcal/mol of atoms): 17.390
Volume (Å³/cell): 74.13
DFT total energy (eV per atom): -57.41
Magnetic moment (μB/f.u.): 3.7
N(E_F) (states/eV per atom): 0.389

a b c (Å): 2.984 4.971 5.347
angles (deg): 100.95 90.00 107.47
Positions (direct):
W: 0.500 0.000 0.000
Tl: 0.747 0.494 0.749
Tl: 0.253 0.506 0.251
Mn: 0.000 0.000 0.500



Computed, not measured: a PBEsol-optimized structure of MnTlW2 at the meta-GGA SCAN level of DFT.

Properties
Excess energy over the best structure of this formula in the dataset (eV per formula unit): 0.46
E_form (kcal/mol of atoms): 12.969
Volume (Å³/cell): 64.06
DFT total energy (eV per atom): -56.93
Magnetic moment (μB/f.u.): 3.2
N(E_F) (states/eV per atom): 0.466

a b c (Å): 3.489 4.175 4.397
angles (deg): 90.00 90.00 90.00
Positions (direct):
W: 0.000 0.000 0.000
W: 0.500 0.500 0.000
Tl: 0.000 0.500 0.500
Mn: 0.500 0.000 0.500



Computed, not measured: a PBEsol-optimized structure of Y2MnTl at the meta-GGA SCAN level of DFT.

Properties
E_form (kcal/mol of atoms): -8.536
Volume (Å³/cell): 94.69
DFT total energy (eV per atom): -36.94
Magnetic moment (μB/f.u.): 3.3
N(E_F) (states/eV per atom): 0.651

a b c (Å): 3.550 3.549 7.517
angles (deg): 90.00 89.99 90.00
Positions (direct):
Y: 0.000 0.000 0.226
Tl: 0.500 0.500 0.500
Mn: 0.500 0.500 0.000
Y: 0.000 0.000 0.774



Computed, not measured: a PBEsol-optimized structure of Zr2MnTl at the meta-GGA SCAN level of DFT.

Properties
E_form (kcal/mol of atoms): -3.059
Volume (Å³/cell): 78.25
DFT total energy (eV per atom): -38.14
Magnetic moment (μB/f.u.): 2.8
N(E_F) (states/eV per atom): 0.952

a b c (Å): 4.131 4.131 5.436
angles (deg): 112.33 112.33 90.00
Positions (direct):
Zr: 0.000 0.000 0.000
Tl: 0.250 0.750 0.500
Mn: 0.500 0.500 0.000
Zr: 0.750 0.250 0.500



Computed, not measured: a PBEsol-optimized structure of Zr2MnTl at the meta-GGA SCAN level of DFT.

Properties
E_form (kcal/mol of atoms): -3.687
Volume (Å³/cell): 75.37
DFT total energy (eV per atom): -38.16
Magnetic moment (μB/f.u.): 0.0
N(E_F) (states/eV per atom): 0.532

a b c (Å): 3.166 3.167 7.518
angles (deg): 90.06 90.00 90.00
Positions (direct):
Tl: 0.500 0.500 0.000
Zr: 0.000 0.001 0.297
Zr: 0.000 0.999 0.703
Mn: 0.500 0.500 0.500



Computed, not measured: a PBEsol-optimized structure of ZrMn2Tl at the meta-GGA SCAN level of DFT.

Properties
E_form (kcal/mol of atoms): 3.437
Volume (Å³/cell): 69.10
DFT total energy (eV per atom): -34.74
Magnetic moment (μB/f.u.): 5.8
N(E_F) (states/eV per atom): 0.807

a b c (Å): 2.958 5.240 5.240
angles (deg): 112.04 102.81 102.81
Positions (direct):
Zr: 0.500 0.000 0.000
Tl: 0.500 0.500 0.500
Mn: 0.000 0.500 0.000
Mn: 0.000 0.000 0.500



Computed, not measured: a PBEsol-optimized structure of ZrMnTl at the meta-GGA SCAN level of DFT.

Properties
E_form (kcal/mol of atoms): 4.165
Volume (Å³/cell): 63.18
DFT total energy (eV per atom): -40.26
Magnetic moment (μB/f.u.): 4.0
N(E_F) (states/eV per atom): 1.813

a b c (Å): 4.471 4.471 4.471
angles (deg): 60.00 60.00 60.00
Positions (direct):
Mn: 0.250 0.250 0.250
Tl: 0.000 0.000 0.000
Zr: 0.500 0.500 0.500